Entry 1:
Ba2PtRhO5 | PBE | optimized geometry

For the uncorrected formation energy, the calculation gives -1354.6 meV/atom. The density of states at the Fermi level is 0.418 states/eV per atom. The value obtained for the total magnetization is 0.0322 μB/atom.

The space group is Cmc2_1 (No. 36) and the conventional cell measures 3.3091, 16.7634 and 10.3566 Å, with angles of 90.00, 90.00 and 90.00 degrees. Symmetry generates all atoms from Ba at (0.0000, 0.1251, 0.0000), Ba at (0.0000, 0.1335, 0.6068), Pt at (0.0000, 0.4572, 0.7561), Rh at (0.0000, 0.2179, 0.3123), O at (0.0000, 0.0982, 0.3398), O at (0.0000, 0.2798, 0.9364), O at (0.0000, 0.2888, 0.6898), O at (0.0000, 0.3375, 0.3073) and O at (0.0000, 0.4959, 0.0838).

Entry 2:
EuLuGe | PBE | optimized geometry

The energy above the lowest structure with this stoichiometry is 0.0 meV/atom. The density of states at the Fermi level is 2.364 states/eV per atom. As for the formation energy: -0.444 eV per atom. The value obtained for the total magnetization is 2.4760 μB/atom.

The space group is F-43m (No. 216) and the conventional cell measures 7.0333, 7.0333 and 7.0333 Å, with angles of 90.00, 90.00 and 90.00 degrees. Symmetry generates all atoms from Eu at (0.0000, 0.0000, 0.0000), Lu at (0.0000, 0.0000, 0.5000) and Ge at (0.2500, 0.2500, 0.2500).

Entry 3:
LuCd3 | PBE | optimized geometry

The density of states at the Fermi level is 0.419 states/eV per atom. As for the formation energy: -0.233 eV per atom. The value obtained for the total magnetization is 0.0000 μB/atom.

The space group is Cmcm (No. 63) and the conventional cell measures 7.1981, 10.6286 and 4.8282 Å, with angles of 90.00, 90.00 and 90.00 degrees. Symmetry generates all atoms from Lu at (0.0000, 0.1289, 0.2500), Cd at (0.0000, 0.3218, 0.7500) and Cd at (0.2159, 0.4033, 0.2500).

Entry 4:
PmPb2IO4 | PBE | optimized geometry

For the uncorrected formation energy, the calculation gives -1589.9 meV/atom. The density of states at the Fermi level is 0.542 states/eV per atom. The value obtained for the total magnetization is 0.0000 μB/atom.

The space group is P4/mmm (No. 123) and the conventional cell measures 4.0586, 4.0586 and 9.6057 Å, with angles of 90.00, 90.00 and 90.00 degrees. Symmetry generates all atoms from Pm at (0.0000, 0.0000, 0.0000), Pb at (0.5000, 0.5000, 0.2565), I at (0.0000, 0.0000, 0.5000) and O at (0.0000, 0.5000, 0.1443).

Entry 5:
Na3AcSm2Se6 | PBE | optimized geometry

For the uncorrected formation energy, the calculation gives -1699.1 meV/atom. The density of states at the Fermi level is 0.000 states/eV per atom. The value obtained for the total magnetization is 0.0000 μB/atom.

The space group is C2/m (No. 12) and the conventional cell measures 7.4991, 12.9947 and 7.4499 Å, with angles of 90.00, 109.65 and 90.00 degrees. Symmetry generates all atoms from Na at (0.0000, 0.0000, 0.0000), Na at (0.0000, 0.3336, 0.0000), Ac at (0.0000, 0.5000, 0.5000), Sm at (0.0000, 0.1669, 0.5000), Se at (0.2322, 0.0000, 0.7381) and Se at (0.2475, 0.1736, 0.2639).

Entry 6:
Ba3Tl5Se12 | PBE | optimized geometry

For the uncorrected formation energy, the calculation gives -581.9 meV/atom. The density of states at the Fermi level is 1.167 states/eV per atom. The value obtained for the total magnetization is 0.0000 μB/atom.

The space group is Ia-3d (No. 230) and the conventional cell measures 17.5557, 17.5557 and 17.5557 Å, with angles of 90.00, 90.00 and 90.00 degrees. Symmetry generates all atoms from Ba at (0.0000, 0.2500, 0.1250), Tl at (0.0000, 0.0000, 0.0000), Tl at (0.0000, 0.2500, 0.3750) and Se at (0.0256, 0.0611, 0.6487).

Entry 7:
Ta2RuAu | PBE | optimized geometry

The energy above the lowest structure with this stoichiometry is 197.7 meV/atom. The density of states at the Fermi level is 0.964 states/eV per atom. As for the formation energy: 0.035 eV per atom. The value obtained for the total magnetization is 0.0000 μB/atom.

The space group is P4/mmm (No. 123) and the conventional cell measures 4.7618, 4.7618 and 3.0186 Å, with angles of 90.00, 90.00 and 90.00 degrees. Symmetry generates all atoms from Ta at (0.0000, 0.5000, 0.0000), Ru at (0.0000, 0.0000, 0.5000) and Au at (0.5000, 0.5000, 0.5000).

Entry 8:
TaTiSe2 | PBE | optimized geometry

The energy above the lowest structure with this stoichiometry is 0.0 meV/atom. For the uncorrected formation energy, the calculation gives -493.8 meV/atom. The density of states at the Fermi level is 1.196 states/eV per atom. The value obtained for the total magnetization is 0.2267 μB/atom.

The space group is Fm-3m (No. 225) and the conventional cell measures 6.4287, 6.4287 and 6.4287 Å, with angles of 90.00, 90.00 and 90.00 degrees. Symmetry generates all atoms from Ta at (0.0000, 0.0000, 0.0000), Ti at (0.0000, 0.0000, 0.5000) and Se at (0.2500, 0.2500, 0.2500).

Entry 9:
BaIr3S | PBE | optimized geometry

The energy above the lowest structure with this stoichiometry is 2696.6 meV/atom. For the uncorrected formation energy, the calculation gives 3117.0 meV/atom. The density of states at the Fermi level is 2.176 states/eV per atom. The value obtained for the total magnetization is 0.8087 μB/atom.

The space group is Pm-3m (No. 221) and the conventional cell measures 5.2167, 5.2167 and 5.2167 Å, with angles of 90.00, 90.00 and 90.00 degrees. Symmetry generates all atoms from Ba at (0.0000, 0.0000, 0.0000), Ir at (0.0000, 0.0000, 0.5000) and S at (0.5000, 0.5000, 0.5000).

Entry 10:
Li3SnPd2 | PBE | optimized geometry

The energy above the lowest structure with this stoichiometry is 35.2 meV/atom. The density of states at the Fermi level is 0.267 states/eV per atom. As for the formation energy: -0.496 eV per atom. The value obtained for the total magnetization is 0.0000 μB/atom.

The space group is P-1 (No. 2) and the conventional cell measures 3.9914, 4.0210 and 6.1099 Å, with angles of 89.90, 71.07 and 89.89 degrees. Symmetry generates all atoms from Li at (0.0000, 0.0000, 0.0000), Li at (0.3232, 0.9999, 0.3534), Sn at (0.5000, 0.5000, 0.0000) and Pd at (0.1642, 0.5000, 0.6707).

Entry 11:
CaLa2Re | PBE | optimized geometry

The energy above the lowest structure with this stoichiometry is 127.8 meV/atom. The density of states at the Fermi level is 1.155 states/eV per atom. As for the formation energy: 0.323 eV per atom. The value obtained for the total magnetization is 0.0000 μB/atom.

The space group is Imm2 (No. 44) and the conventional cell measures 3.5433, 5.0714 and 14.4431 Å, with angles of 90.00, 90.00 and 90.00 degrees. Symmetry generates all atoms from Ca at (0.0000, 0.0000, 0.0000), La at (0.0000, 0.0000, 0.6660), La at (0.0000, 0.5000, 0.8323) and Re at (0.0000, 0.5000, 0.3193).

Entry 12:
Tb3Sm4Dy3 | PBE | optimized geometry

The density of states at the Fermi level is 0.834 states/eV per atom. As for the formation energy: 0.099 eV per atom. The value obtained for the total magnetization is 0.0000 μB/atom.

The space group is Amm2 (No. 38) and the conventional cell measures 3.7872, 13.1735 and 13.1835 Å, with angles of 90.00, 90.00 and 90.00 degrees. Symmetry generates all atoms from Tb at (0.0000, 0.0000, 0.0000), Tb at (0.0000, 0.1693, 0.6692), Sm at (0.5000, 0.0000, 0.5392), Sm at (0.5000, 0.0000, 0.7993), Sm at (0.5000, 0.1298, 0.1694), Dy at (0.0000, 0.0000, 0.3386) and Dy at (0.5000, 0.2495, 0.4191).

total magnetization of number 7 (Ta2RuAu)? 0.0000 μB/atom